5
Lattice="4.166 0.000 0.000 0.000 4.166 0.000 0.000 0.000 4.235" Properties=species:S:1:pos:R:3 comment="SrNiPO2 PBE with a Hubbard U relaxed" spacegroup="P4/mmm, No. 123" total_energy_ev_per_atom=-4.479 polymorph_energy_ev_per_atom=0.0000 crystal_system=tetragonal pbc="T T T"
Sr 0.000 0.000 0.000
Ni 2.083 2.083 2.118
P 2.083 2.083 0.000
O 0.000 2.083 2.118
O 2.083 0.000 2.118